This record from the Alexandria database describes Ta2AlAg at its PBEsol-relaxed geometry. The functional is SCAN.

Summary:
The energy relative to the elements comes out at 8 meV/atom. As for the density of states at the Fermi level: 1.967 states/eV/cell. As for the relative energy among the computed polymorphs: 0.13 eV/f.u.

Cell lengths 2.829, 2.829, 8.249 Å; angles 90.00, 90.00, 90.00 degrees
Positions (direct):
Ag: 0.500 0.500 0.000
Ta: 0.000 0.000 0.265
Ta: 0.000 0.000 0.735
Al: 0.500 0.500 0.500